# FeHgRu2

FeHgRu2 after structural relaxation (GGA-PBEsol, Alexandria via LeMat-Bulk).

The calculation puts the volume at 58.0 Å³/f.u. The total magnetization is 2.89 μB per formula unit. The energy relative to the elements is 0.448 eV/atom.

The space group is Cm (No. 8) and the conventional cell measures 8.902, 2.792 and 4.745 Å, with angles of 90.00, 100.56 and 90.00 degrees. The asymmetric unit holds Fe at (0.000, 0.000, 0.000), Hg at (0.245, 0.000, 0.741), Ru at (0.243, 0.500, 0.241) and Ru at (0.485, 0.000, 0.432).